Entry 1:
{"formula": "ZnFeW", "functional": "GGA-PBE", "state": "relaxed", "cell": [[-3.928, -0.705, -0.509], [-1.411, -3.762, 0.202], [-2.262, -1.135, 3.128]], "species": ["Zn", "Fe", "W"], "fractional_positions": [[0.500, 0.500, 0.500], [0.750, 0.750, 0.750], [0.000, 0.000, 0.000]], "n_ef_per_ev_cell": 3.5, "formation_enthalpy_0k_ev_per_atom": 0.528, "density_g_cm3": 11.00, "e_tot_ev_per_cell": -21.11, "total_magnetization_mub_per_cell": 1.4}


Entry 2:
{"formula": "TlFe2BiS", "functional": "GGA-PBE", "state": "relaxed", "cell": [[-0.350, -1.411, -4.797], [5.569, 0.402, -0.525], [0.475, -4.797, 1.376]], "species": ["Tl", "S", "Fe", "Fe", "Bi"], "fractional_positions": [[0.500, 0.500, 0.500], [0.000, 0.500, 0.000], [0.500, 0.000, 0.000], [0.000, 0.000, 0.500], [0.000, 0.000, 0.000]], "n_ef_per_ev_cell": 6.2, "density_g_cm3": 6.56, "formation_energy_uncorrected_ev_per_fu": 5.150, "e_tot_ev_per_cell": -22.15, "total_magnetization_mub_per_cell": 6.0}


Entry 3:
{"formula": "ZrCr2Tc", "functional": "GGA-PBE", "state": "relaxed", "cell": [[-2.332, 0.876, -1.929], [-2.424, -3.311, 1.428], [-1.690, 2.634, 3.239]], "species": ["Zr", "Tc", "Cr", "Cr"], "fractional_positions": [[0.000, 0.500, 0.500], [0.500, 0.000, 0.500], [0.000, 0.000, 0.000], [0.500, 0.500, 0.000]], "n_ef_per_ev_cell": 3.1, "formation_enthalpy_0k_ev_per_atom": 0.096, "density_g_cm3": 7.90, "e_tot_ev_per_cell": -37.78, "total_magnetization_mub_per_cell": 0.4}


Entry 4:
{"formula": "TaFe2Re", "functional": "GGA-PBE", "state": "relaxed", "cell": [[-2.232, -1.817, 1.273], [2.633, -3.369, -0.191], [1.443, 0.911, 3.829]], "species": ["Fe", "Fe", "Re", "Ta"], "fractional_positions": [[0.500, 0.500, 0.000], [0.000, 0.000, 0.000], [0.500, 0.000, 0.500], [0.000, 0.500, 0.500]], "n_ef_per_ev_cell": 2.9, "formation_enthalpy_0k_ev_per_atom": -0.029, "density_g_cm3": 14.08, "e_tot_ev_per_cell": -41.34, "total_magnetization_mub_per_cell": 4.1}


Entry 5:
{"formula": "CaSc2Ir", "functional": "GGA-PBE", "state": "relaxed", "cell": [[-4.254, 0.854, 1.464], [-1.592, -3.369, -2.662], [0.512, -2.628, 3.020]], "species": ["Sc", "Sc", "Ca", "Ir"], "fractional_positions": [[0.500, 0.500, 0.000], [0.000, 0.000, 0.000], [0.500, 0.000, 0.500], [0.000, 0.500, 0.500]], "n_ef_per_ev_cell": 3.9, "formation_enthalpy_0k_ev_per_atom": -0.143, "density_g_cm3": 6.32, "e_tot_ev_per_cell": -24.10, "total_magnetization_mub_per_cell": 0.0}


Entry 6:
{"formula": "ZrAsS3", "functional": "GGA-PBE", "state": "relaxed", "cell": [[-3.837, -2.621, -1.769], [1.358, -3.878, 2.800], [-2.855, 1.678, 3.708]], "species": ["S", "S", "S", "Zr", "As"], "fractional_positions": [[0.000, 0.000, 0.500], [0.500, 0.000, 0.000], [0.000, 0.500, 0.000], [0.000, 0.000, 0.000], [0.500, 0.500, 0.500]], "n_ef_per_ev_cell": 3.7, "density_g_cm3": 3.54, "formation_energy_uncorrected_ev_per_fu": -0.538, "e_tot_ev_per_cell": -26.12, "total_magnetization_mub_per_cell": 1.1}


Entry 7:
{"formula": "KAl8Ag6", "functional": "GGA-PBE", "state": "relaxed", "cell": [[-1.306, -5.729, 3.758], [1.659, -5.708, -3.649], [5.960, -2.735, 2.378]], "species": ["Ag", "Ag", "Ag", "Ag", "Ag", "Ag", "Al", "Al", "Al", "Al", "Al", "Al", "Al", "Al", "K"], "fractional_positions": [[0.836, 0.656, 0.412], [0.588, 0.164, 0.344], [0.412, 0.836, 0.656], [0.164, 0.344, 0.588], [0.656, 0.412, 0.836], [0.344, 0.588, 0.164], [0.858, 0.196, 0.529], [0.804, 0.471, 0.142], [0.471, 0.142, 0.804], [0.529, 0.858, 0.196], [0.774, 0.774, 0.774], [0.142, 0.804, 0.471], [0.196, 0.529, 0.858], [0.226, 0.226, 0.226], [0.000, 0.000, 0.000]], "n_ef_per_ev_cell": 6.4, "formation_enthalpy_0k_ev_per_atom": 0.041, "density_g_cm3": 5.19, "e_tot_ev_per_cell": -47.52, "total_magnetization_mub_per_cell": 0.0}


Entry 8:
{"formula": "Tm2Ge2PdRh5", "functional": "GGA-PBE", "state": "relaxed", "cell": [[3.626, 0.000, 0.000], [0.000, 9.605, 0.000], [0.000, 0.000, 9.605]], "species": ["Rh", "Rh", "Rh", "Rh", "Rh", "Rh", "Rh", "Rh", "Rh", "Rh", "Pd", "Pd", "Ge", "Ge", "Ge", "Ge", "Tm", "Tm", "Tm", "Tm"], "fractional_positions": [[0.500, 0.432, 0.292], [0.500, 0.208, 0.068], [0.500, 0.792, 0.932], [0.500, 0.000, 0.500], [0.500, 0.708, 0.432], [0.500, 0.932, 0.208], [0.500, 0.500, 0.000], [0.500, 0.068, 0.792], [0.500, 0.292, 0.568], [0.500, 0.568, 0.708], [0.000, 0.000, 0.000], [0.000, 0.500, 0.500], [0.000, 0.374, 0.126], [0.000, 0.626, 0.874], [0.000, 0.126, 0.626], [0.000, 0.874, 0.374], [0.000, 0.826, 0.674], [0.000, 0.326, 0.826], [0.000, 0.674, 0.174], [0.000, 0.174, 0.326]], "n_ef_per_ev_cell": 16.7, "formation_enthalpy_0k_ev_per_atom": -0.703, "density_g_cm3": 10.96, "e_tot_ev_per_cell": -134.32, "total_magnetization_mub_per_cell": 0.0}